Entry 1:
! SmS5Cl (PBE, relaxed); values from VASP
&SYSTEM
  ibrav = 0, nat = 7, ntyp = 3
/
ATOMIC_SPECIES
Sm 150.36 Sm.upf
S 32.06 S.upf
Cl 35.45 Cl.upf
ATOMIC_POSITIONS crystal
Sm 0.0000 0.0000 0.0000
S 0.2347 0.7653 0.0000
S 0.2583 0.1255 0.6704
S 0.6782 0.0813 0.2417
S 0.8745 0.7417 0.3296
S 0.9187 0.3218 0.7583
Cl 0.4275 0.5725 0.5000
CELL_PARAMETERS angstrom
3.4696 -6.3217 0.0000
3.4696 6.3217 0.0000
-3.4167 0.0000 3.9280
! - D(E_F): 2.52 states/eV/f.u.
! - E_form (uncorrected): -633 meV/atom
! - Electronic total energy: -4.5188 eV per atom

Entry 2:
! Sm5S4Cl (PBE, relaxed); values from VASP
&SYSTEM
  ibrav = 0, nat = 10, ntyp = 3
/
ATOMIC_SPECIES
Sm 150.36 Sm.upf
S 32.06 S.upf
Cl 35.45 Cl.upf
ATOMIC_POSITIONS crystal
Sm 0.0000 0.0000 0.0000
Sm 0.1828 0.3975 0.5803
Sm 0.3975 0.8172 0.2147
Sm 0.6025 0.1828 0.7853
Sm 0.8172 0.6025 0.4197
S 0.1072 0.7027 0.8099
S 0.2973 0.1072 0.4045
S 0.7027 0.8928 0.5955
S 0.8928 0.2973 0.1901
Cl 0.5000 0.5000 0.0000
CELL_PARAMETERS angstrom
-4.4939 4.4939 2.8349
4.4939 -4.4939 2.8349
4.4939 4.4939 -2.8349
! - D(E_F): 4.79 states/eV/f.u.
! - E_form (uncorrected): -1878 meV/atom
! - Electronic total energy: -6.0730 eV per atom

Entry 3:
! Sm3S4Cl (PBE, relaxed); values from VASP
&SYSTEM
  ibrav = 0, nat = 16, ntyp = 3
/
ATOMIC_SPECIES
Sm 150.36 Sm.upf
S 32.06 S.upf
Cl 35.45 Cl.upf
ATOMIC_POSITIONS crystal
Sm 0.0062 0.9938 0.5000
Sm 0.3534 0.3791 0.2811
Sm 0.3791 0.3534 0.7811
Sm 0.5982 0.6122 0.7029
Sm 0.6122 0.5982 0.2029
Sm 0.9938 0.0062 0.0000
S 0.0178 0.3421 0.1472
S 0.1821 0.7860 0.2399
S 0.2429 0.5780 0.5555
S 0.3421 0.0178 0.6472
S 0.4017 0.7230 0.9352
S 0.5780 0.2429 0.0555
S 0.7230 0.4017 0.4352
S 0.7860 0.1821 0.7399
Cl 0.6427 0.9535 0.3411
Cl 0.9535 0.6427 0.8411
CELL_PARAMETERS angstrom
7.1127 -3.5522 0.0000
7.1127 3.5522 0.0000
-3.6059 0.0000 9.1769
! - D(E_F): 0.00 states/eV/f.u.
! - E_form (uncorrected): -2038 meV/atom
! - Electronic total energy: -6.1026 eV per atom

Q: Among the records above, which one has the highest E_form (uncorrected)?
A: SmS5Cl

Q: Number 2 is which compound?
A: Sm5S4Cl

Q: Number 2 is which compound?
A: Sm5S4Cl